Density functional theory data (PBE) for CePuCd after structural relaxation.

abc: 3.1707 3.1287 7.6070
angles: 90.03 102.19 90.00
Each line ends with the local moment (μB).
Positions (direct):
Cd (0.7323, 0.9618, 0.1123)  0.00
Pu (0.4034, 0.4623, 0.4494)  -5.32
Ce (0.0576, 0.4613, 0.7680)  -0.20

E above lowest polymorph ... 0.308 eV per formula unit
Formation enthalpy at 0 K ... 17.7 kJ/mol of formula units
Crystal system ... monoclinic
Mass density ... 11.178 g cm⁻³
Electronic total energy ... -6.999 eV/atom
Symmetry ... No. 6

---

Density functional theory data (PBE) for Ce4Pu2Cd3 after structural relaxation.

abc: 6.1920 9.2637 9.2637
angles: 57.94 92.33 92.33
Each line ends with the local moment (μB).
Positions (direct):
Ce (0.0270, 0.8412, 0.1603)  0.44
Ce (0.4997, 0.7825, 0.5598)  0.70
Ce (0.0003, 0.4402, 0.2175)  0.70
Ce (0.4730, 0.8397, 0.1588)  0.44
Ce (0.9997, 0.5598, 0.7825)  0.70
Ce (0.9730, 0.1588, 0.8397)  0.44
Ce (0.5003, 0.2175, 0.4402)  0.70
Ce (0.5270, 0.1603, 0.8412)  0.44
Cd (0.2500, 0.4886, 0.5114)  -0.02
Cd (0.7607, 0.1369, 0.1855)  0.00
Cd (0.2607, 0.1855, 0.1369)  0.00
Cd (0.2393, 0.8631, 0.8145)  0.00
Cd (0.7500, 0.5114, 0.4886)  -0.02
Cd (0.7393, 0.8145, 0.8631)  0.00
Pu (0.5727, 0.4723, 0.8554)  5.37
Pu (0.0727, 0.8554, 0.4723)  5.37
Pu (0.9273, 0.1446, 0.5277)  5.37
Pu (0.4273, 0.5277, 0.1446)  5.37

Formation enthalpy at 0 K ... -61.8 kJ/mol of formula units
Crystal system ... monoclinic
Mass density ... 10.230 g cm⁻³
Electronic total energy ... -6.198 eV/atom
Symmetry ... No. 15

---

Density functional theory data (PBE) for Ce14PuCd after structural relaxation.

abc: 6.6573 6.6573 9.3803
angles: 90.00 90.00 89.97
Each line ends with the local moment (μB).
Positions (direct):
Ce (0.6219, 0.3781, 0.2485)  -0.14
Ce (0.3750, 0.1249, 0.5000)  -0.02
Ce (0.3750, 0.1253, 0.0000)  -0.31
Ce (0.8747, 0.6250, 0.0000)  -0.31
Ce (0.1281, 0.8719, 0.7510)  -0.14
Ce (0.1281, 0.8719, 0.2490)  -0.14
Ce (0.1281, 0.3779, 0.2487)  -0.14
Ce (0.1281, 0.3779, 0.7513)  -0.14
Ce (0.3754, 0.6246, 0.5000)  0.04
Ce (0.8751, 0.6250, 0.5000)  -0.02
Ce (0.6219, 0.3781, 0.7515)  -0.14
Ce (0.6221, 0.8719, 0.7513)  -0.14
Ce (0.8746, 0.1254, 0.5000)  -0.13
Ce (0.6221, 0.8719, 0.2487)  -0.14
Pu (0.8751, 0.1249, 0.0000)  5.19
Cd (0.3746, 0.6254, 0.0000)  -0.01

Formation enthalpy at 0 K ... 8.6 kJ/mol of formula units
Crystal system ... tetragonal
Mass density ... 9.259 g cm⁻³
Electronic total energy ... -6.139 eV/atom
Symmetry ... No. 123

---

Density functional theory data (PBE) for Ce12Pu2Cd5 after structural relaxation.

abc: 6.7052 8.7609 8.7609
angles: 74.70 87.23 87.23
Positions (direct):
Pu (0.0000, 0.2888, 0.7112)
Pu (0.0000, 0.7112, 0.2888)
Ce (0.7419, 0.3834, 0.8823)
Ce (0.1066, 0.9143, 0.9143)
Ce (0.7725, 0.4894, 0.4894)
Ce (0.2581, 0.6166, 0.1177)
Ce (0.7519, 0.6620, 0.1036)
Ce (0.2481, 0.8964, 0.3380)
Ce (0.7519, 0.1036, 0.6620)
Ce (0.8934, 0.0857, 0.0857)
Ce (0.2481, 0.3380, 0.8964)
Ce (0.7419, 0.8823, 0.3834)
Ce (0.2275, 0.5106, 0.5106)
Ce (0.2581, 0.1177, 0.6166)
Cd (0.9674, 0.7091, 0.7091)
Cd (0.5171, 0.2692, 0.2692)
Cd (0.5000, 0.0000, 0.0000)
Cd (0.4829, 0.7308, 0.7308)
Cd (0.0326, 0.2909, 0.2909)

Formation enthalpy at 0 K ... -33.8 kJ/mol of formula units
Crystal system ... monoclinic
Mass density ... 9.154 g cm⁻³
Electronic total energy ... -5.516 eV/atom
Symmetry ... No. 12

---

Density functional theory data (PBE) for Ce6PuCd12 after structural relaxation.

abc: 7.8253 7.8253 7.8253
angles: 90.87 90.87 90.87
Each line ends with the local moment (μB).
Positions (direct):
Cd (0.5160, 0.4396, 0.7873)  0.00
Cd (0.1907, 0.3716, 0.0549)  0.00
Cd (0.6284, 0.9451, 0.8093)  0.00
Cd (0.3716, 0.0549, 0.1907)  0.00
Cd (0.9451, 0.8093, 0.6284)  0.00
Cd (0.4840, 0.5604, 0.2127)  0.00
Cd (0.4396, 0.7873, 0.5160)  0.00
Cd (0.2127, 0.4840, 0.5604)  0.00
Cd (0.7873, 0.5160, 0.4396)  0.00
Cd (0.8093, 0.6284, 0.9451)  0.00
Cd (0.5604, 0.2127, 0.4840)  0.00
Cd (0.0549, 0.1907, 0.3716)  0.00
Ce (0.2643, 0.7576, 0.9129)  0.38
Ce (0.7576, 0.9129, 0.2643)  0.38
Ce (0.2424, 0.0871, 0.7356)  0.38
Ce (0.7356, 0.2424, 0.0871)  0.38
Ce (0.0871, 0.7356, 0.2424)  0.38
Ce (0.9129, 0.2643, 0.7576)  0.38
Pu (0.0000, 0.0000, 0.0000)  5.07

Formation enthalpy at 0 K ... -172.6 kJ/mol of formula units
Crystal system ... trigonal
Mass density ... 8.436 g cm⁻³
Electronic total energy ... -3.300 eV/atom
Symmetry ... No. 148

---

Density functional theory data (PBE) for Ce4PuCd after structural relaxation.

abc: 11.2650 10.1781 5.5247
angles: 90.00 90.00 77.29
Each line ends with the local moment (μB).
Positions (direct):
Ce (0.5224, 0.2419, 0.7079)  0.01
Ce (0.9968, 0.9331, 0.2262)  -0.09
Ce (0.4910, 0.9064, 0.7447)  0.10
Ce (0.0090, 0.5936, 0.2447)  0.10
Ce (0.2762, 0.5076, 0.8555)  0.31
Ce (0.0032, 0.0669, 0.7738)  -0.09
Ce (0.7238, 0.4924, 0.1445)  0.31
Ce (0.5090, 0.0936, 0.2553)  0.10
Ce (0.5032, 0.5669, 0.7262)  -0.09
Ce (0.7762, 0.0076, 0.6445)  0.31
Ce (0.9776, 0.2581, 0.2079)  0.01
Ce (0.4776, 0.7581, 0.2921)  0.01
Ce (0.9910, 0.4064, 0.7553)  0.10
Ce (0.0224, 0.7419, 0.7921)  0.01
Ce (0.2238, 0.9924, 0.3555)  0.31
Ce (0.4968, 0.4331, 0.2738)  -0.09
Cd (0.7443, 0.8252, 0.1337)  -0.01
Cd (0.2443, 0.3252, 0.3663)  -0.01
Cd (0.2557, 0.1748, 0.8663)  -0.01
Cd (0.7557, 0.6748, 0.6337)  -0.01
Pu (0.2128, 0.6594, 0.4352)  5.12
Pu (0.7872, 0.3406, 0.5648)  5.12
Pu (0.7128, 0.1594, 0.0648)  5.12
Pu (0.2872, 0.8406, 0.9352)  5.12

Formation enthalpy at 0 K ... 4.8 kJ/mol of formula units
Crystal system ... monoclinic
Mass density ... 9.856 g cm⁻³
Electronic total energy ... -6.489 eV/atom
Symmetry ... No. 14

---

Density functional theory data (PBE) for CePuCd after structural relaxation.

abc: 3.7794 3.7794 5.9873
angles: 108.40 108.40 90.00
Each line ends with the local moment (μB).
Positions (direct):
Pu (0.9869, 0.9869, 0.9739)  5.47
Ce (0.3473, 0.3473, 0.6946)  0.89
Cd (0.6658, 0.6658, 0.3316)  0.01

E above lowest polymorph ... 0.112 eV per formula unit
Formation enthalpy at 0 K ... -1.2 kJ/mol of formula units
Crystal system ... tetragonal
Mass density ... 10.774 g cm⁻³
Electronic total energy ... -7.065 eV/atom
Symmetry ... No. 107

---

Density functional theory data (PBE) for Ce4PuCd2 after structural relaxation.

abc: 6.4646 6.4646 6.4646
angles: 105.85 111.31 111.31
Each line ends with the local moment (μB).
Positions (direct):
Pu (0.0000, 0.0000, 0.0000)  5.65
Ce (0.0000, 0.5000, 0.0000)  0.86
Ce (0.5000, 0.5000, 0.5000)  0.86
Ce (0.0000, 0.0000, 0.5000)  0.86
Ce (0.5000, 0.0000, 0.0000)  0.86
Cd (0.5000, 0.0000, 0.5000)  0.00
Cd (0.5000, 0.5000, 0.0000)  0.00

Formation enthalpy at 0 K ... 67.8 kJ/mol of formula units
Crystal system ... tetragonal
Mass density ... 8.243 g cm⁻³
Electronic total energy ... -5.599 eV/atom
Symmetry ... No. 139

---

Density functional theory data (PBE) for Ce5Pu2Cd after structural relaxation.

abc: 6.5886 6.5886 6.5884
angles: 118.52 118.52 92.58
Each line ends with the local moment (μB).
Positions (direct):
Cd (0.7780, 0.7780, 0.0000)  0.01
Ce (0.2780, 0.2779, 0.5001)  0.21
Ce (0.2778, 0.2778, 0.0000)  -0.24
Ce (0.7779, 0.2780, 0.0000)  0.21
Ce (0.2779, 0.7777, 0.0000)  0.21
Ce (0.7779, 0.7778, 0.4999)  0.21
Pu (0.7777, 0.2778, 0.4999)  5.30
Pu (0.2779, 0.7779, 0.5001)  5.30

Formation enthalpy at 0 K ... 10.8 kJ/mol of formula units
Crystal system ... tetragonal
Mass density ... 10.461 g cm⁻³
Electronic total energy ... -7.392 eV/atom
Symmetry ... No. 139

---

Density functional theory data (PBE) for Ce6PuCd2 after structural relaxation.

abc: 7.0812 7.0812 7.0829
angles: 60.00 60.00 60.02
Positions (direct):
Ce (0.7446, 0.7446, 0.2558)
Ce (0.7444, 0.2554, 0.7446)
Ce (0.2554, 0.2554, 0.7442)
Ce (0.2554, 0.7444, 0.7446)
Ce (0.2556, 0.7446, 0.2554)
Ce (0.7446, 0.2556, 0.2554)
Pu (0.5000, 0.5000, 0.5000)
Cd (0.7500, 0.7500, 0.7502)
Cd (0.2500, 0.2500, 0.2498)

Formation enthalpy at 0 K ... -176.6 kJ/mol of formula units
Crystal system ... cubic
Mass density ... 8.658 g cm⁻³
Electronic total energy ... -5.955 eV/atom
Symmetry ... No. 225

---

Density functional theory data (PBE) for CePuCd4 after structural relaxation.

abc: 5.1859 6.2128 9.4875
angles: 70.89 90.00 90.00
Each line ends with the local moment (μB).
Positions (direct):
Cd (0.2500, 0.7938, 0.4164)  0.00
Cd (0.7500, 0.0410, 0.9172)  0.00
Cd (0.2500, 0.4582, 0.0828)  0.00
Cd (0.7500, 0.2062, 0.5836)  0.00
Cd (0.2500, 0.2898, 0.4164)  0.00
Cd (0.2500, 0.9590, 0.0828)  0.00
Cd (0.7500, 0.5418, 0.9172)  0.00
Cd (0.7500, 0.7102, 0.5836)  0.00
Pu (0.2500, 0.8742, 0.7515)  5.63
Pu (0.7500, 0.1258, 0.2485)  5.63
Ce (0.2500, 0.3764, 0.7472)  1.03
Ce (0.7500, 0.6236, 0.2528)  1.03

E above lowest polymorph ... 0.000 eV per formula unit
Formation enthalpy at 0 K ... -121.8 kJ/mol of formula units
Crystal system ... orthorhombic
Mass density ... 9.587 g cm⁻³
Electronic total energy ... -4.198 eV/atom
Symmetry ... No. 63

---

Density functional theory data (PBE) for CePuCd4 after structural relaxation.

abc: 5.9520 5.9520 5.9520
angles: 60.00 60.00 60.00
Each line ends with the local moment (μB).
Positions (direct):
Cd (0.6250, 0.6250, 0.6250)  0.00
Cd (0.6250, 0.6250, 0.1250)  0.00
Cd (0.1250, 0.6250, 0.6250)  0.00
Cd (0.6250, 0.1250, 0.6250)  0.00
Ce (0.2500, 0.2500, 0.2500)  0.91
Pu (0.0000, 0.0000, 0.0000)  5.51

E above lowest polymorph ... 0.571 eV per formula unit
Formation enthalpy at 0 K ... -66.7 kJ/mol of formula units
Crystal system ... cubic
Mass density ... 9.286 g cm⁻³
Electronic total energy ... -4.103 eV/atom
Symmetry ... No. 216

---

- The lowest electronic total energy belongs to which entry?
  Ce5Pu2Cd